1.
Below is crystalline Cs2Zn2Cu at its relaxed geometry, with properties calculated at the PBE level.

Properties
**Formation energy from the elements**: 1.77 eV/f.u.
**Energy**: -1.316 eV/atom
**N(E_F)**: 3.42 states/eV/f.u.
**Energy relative to the lowest polymorph listed for this composition**: 0.063 eV/atom

Geometry as POSCAR:
```
Cs2Zn2Cu
1.0
7.5251 0.0000 0.0000
0.0000 7.5251 0.0000
0.0000 0.0000 5.8751
Cs Zn Cu
4 4 2
Cartesian
1.3706 2.3919 0.0000
2.3919 6.1545 0.0000
5.1331 1.3706 0.0000
6.1545 5.1331 0.0000
1.0170 4.7795 2.9376
2.7456 1.0170 2.9376
4.7795 6.5081 2.9376
6.5081 2.7456 2.9376
0.0000 0.0000 2.9376
3.7625 3.7625 2.9376
```


2.
Below is crystalline Cs2Zn2Cu at its relaxed geometry, with properties calculated at the PBE level.

Properties
**Formation energy from the elements**: 1.46 eV/f.u.
**Energy**: -1.379 eV/atom
**N(E_F)**: 2.67 states/eV/f.u.
**Energy relative to the lowest polymorph listed for this composition**: 0.000 eV/atom

Geometry as POSCAR:
```
Cs2Zn2Cu
1.0
7.1938 0.0000 0.0000
0.0000 7.1938 0.0000
0.0000 0.0000 7.5685
Cs Zn Cu
4 4 2
Cartesian
0.0000 3.5969 1.8921
0.0000 3.5969 5.6764
3.5969 0.0000 1.8921
3.5969 0.0000 5.6764
0.0000 0.0000 1.3082
0.0000 0.0000 6.2603
3.5969 3.5969 2.4760
3.5969 3.5969 5.0924
0.0000 0.0000 3.7842
3.5969 3.5969 0.0000
```


3.
Below is crystalline CsZrCu3 at its relaxed geometry, with properties calculated at the PBE level.

Properties
**Formation energy from the elements**: 9.72 eV/f.u.
**Energy**: -2.395 eV/atom
**N(E_F)**: 6.12 states/eV/f.u.
**Energy relative to the lowest polymorph listed for this composition**: 1.085 eV/atom

Geometry as POSCAR:
```
CsZrCu3
1.0
5.1108 0.0000 0.0000
0.0000 5.1108 0.0000
0.0000 0.0000 5.1108
Cs Zr Cu
1 1 3
Cartesian
0.0000 0.0000 0.0000
2.5554 2.5554 2.5554
0.0000 0.0000 2.5554
0.0000 2.5554 0.0000
2.5554 0.0000 0.0000
```


4.
Below is crystalline CsZr2Cu at its relaxed geometry, with properties calculated at the PBE level.

Properties
**Formation energy from the elements**: 4.68 eV/f.u.
**Energy**: -4.342 eV/atom
**N(E_F)**: 4.65 states/eV/f.u.
**Energy relative to the lowest polymorph listed for this composition**: 0.111 eV/atom

Geometry as POSCAR:
```
CsZr2Cu
1.0
4.6444 0.0000 0.0000
0.0000 4.6444 0.0000
0.0000 0.0000 21.7977
Cs Zr Cu
4 8 4
Cartesian
0.0000 0.0000 0.0000
0.0000 2.3222 5.4494
2.3222 0.0000 16.3483
2.3222 2.3222 10.8988
0.6155 1.1611 13.6236
1.1611 2.9377 19.0730
1.1611 4.0289 8.1741
1.7067 1.1611 2.7247
2.9377 3.4833 2.7247
3.4833 0.6155 8.1741
3.4833 1.7067 19.0730
4.0289 3.4833 13.6236
0.0000 0.0000 10.8988
0.0000 2.3222 16.3483
2.3222 0.0000 5.4494
2.3222 2.3222 0.0000
```


5.
Below is crystalline CsZr2Cu at its relaxed geometry, with properties calculated at the PBE level.

Properties
**Formation energy from the elements**: 4.23 eV/f.u.
**Energy**: -4.453 eV/atom
**N(E_F)**: 5.11 states/eV/f.u.
**Energy relative to the lowest polymorph listed for this composition**: 0.000 eV/atom

Geometry as POSCAR:
```
CsZr2Cu
1.0
7.0788 0.0000 0.0000
0.0000 7.0788 0.0000
0.0000 0.0000 7.0788
Cs Zr Cu
4 8 4
Cartesian
0.0000 0.0000 0.0000
0.0000 3.5394 3.5394
3.5394 0.0000 3.5394
3.5394 3.5394 0.0000
1.7697 1.7697 1.7697
1.7697 1.7697 5.3091
1.7697 5.3091 1.7697
1.7697 5.3091 5.3091
5.3091 1.7697 1.7697
5.3091 1.7697 5.3091
5.3091 5.3091 1.7697
5.3091 5.3091 5.3091
0.0000 0.0000 3.5394
0.0000 3.5394 0.0000
3.5394 0.0000 0.0000
3.5394 3.5394 3.5394
```


6.
Below is crystalline Cs2ZrCu at its relaxed geometry, with properties calculated at the PBE level.

Properties
**Formation energy from the elements**: 3.96 eV/f.u.
**Energy**: -2.597 eV/atom
**N(E_F)**: 4.71 states/eV/f.u.

Geometry as POSCAR:
```
Cs2ZrCu
1.0
13.4795 0.0000 0.0000
0.0000 13.4795 0.0000
0.0000 0.0000 5.1972
Cs Zr Cu
8 4 4
Cartesian
1.1151 10.1096 0.6496
3.3699 1.1151 4.5475
3.3699 5.6246 1.9489
5.6246 10.1096 3.2482
7.8549 3.3699 3.2482
10.1096 7.8549 1.9489
10.1096 12.3644 4.5475
12.3644 3.3699 0.6496
0.0000 0.0000 2.5986
0.0000 6.7398 3.8979
6.7398 0.0000 1.2993
6.7398 6.7398 0.0000
0.0000 0.0000 0.0000
0.0000 6.7398 1.2993
6.7398 0.0000 3.8979
6.7398 6.7398 2.5986
```


7.
Below is crystalline Cs3ZrCu at its relaxed geometry, with properties calculated at the PBE level.

Properties
**Formation energy from the elements**: 5.29 eV/f.u.
**Energy**: -1.982 eV/atom
**N(E_F)**: 6.84 states/eV/f.u.
**Energy relative to the lowest polymorph listed for this composition**: 0.000 eV/atom

Geometry as POSCAR:
```
Cs3ZrCu
1.0
6.8053 0.0000 0.0000
0.0000 6.8053 0.0000
0.0000 0.0000 6.8053
Cs Zr Cu
3 1 1
Cartesian
0.0000 0.0000 3.4027
0.0000 3.4027 0.0000
3.4027 0.0000 0.0000
3.4027 3.4027 3.4027
0.0000 0.0000 0.0000
```


8.
Below is crystalline CsZrCu3 at its relaxed geometry, with properties calculated at the PBE level.

Properties
**Formation energy from the elements**: 4.29 eV/f.u.
**Energy**: -3.480 eV/atom
**N(E_F)**: 4.67 states/eV/f.u.
**Energy relative to the lowest polymorph listed for this composition**: 0.000 eV/atom

Geometry as POSCAR:
```
CsZrCu3
1.0
5.2684 0.0000 0.0000
0.0000 5.2684 0.0000
0.0000 0.0000 5.2684
Cs Zr Cu
1 1 3
Cartesian
0.0000 0.0000 0.0000
2.6342 2.6342 2.6342
0.0000 2.6342 2.6342
2.6342 0.0000 2.6342
2.6342 2.6342 0.0000
```


9.
Below is crystalline CsDy4 at its relaxed geometry, with properties calculated at the PBE level.

Properties
**Formation energy from the elements**: 5.47 eV/f.u.
**Energy**: -2.759 eV/atom
**N(E_F)**: 4.64 states/eV/f.u.

Geometry as POSCAR:
```
CsDy4
1.0
5.6648 0.0000 0.0000
0.0000 5.6648 0.0000
0.0000 0.0000 5.6648
Cs Dy
1 4
Cartesian
0.0000 0.0000 0.0000
0.0000 0.0000 2.8324
0.0000 2.8324 0.0000
2.8324 0.0000 0.0000
2.8324 2.8324 2.8324
```


10.
Below is crystalline Cs3Dy2ErS6 at its relaxed geometry, with properties calculated at the PBE level.

Properties
**Energy**: -5.257 eV/atom
**N(E_F)**: 0.00 states/eV/f.u.

Geometry as POSCAR:
```
Cs3Dy2ErS6
1.0
3.5463 -6.1424 0.0000
3.5463 6.1424 0.0000
-2.3646 0.0000 8.0628
Cs Dy Er S
3 2 1 6
Cartesian
0.0000 0.0000 0.0000
3.5463 2.0527 0.0000
3.5463 -2.0527 0.0000
2.3640 4.0955 4.0314
2.3640 -4.0955 4.0314
2.3640 0.0000 4.0314
1.1893 2.0345 2.5725
0.0148 0.0000 5.4918
1.1893 -2.0345 2.5725
3.5386 2.0345 5.4903
4.7132 0.0000 2.5710
3.5386 -2.0345 5.4903
```


11.
Below is crystalline Cs4DyEr3Te8 at its relaxed geometry, with properties calculated at the PBE level.

Properties
**Energy**: -4.301 eV/atom

Geometry as POSCAR:
```
Cs4DyEr3Te8
1.0
4.5324 2.6168 8.9124
-4.5324 2.6168 8.9124
0.0000 -5.2335 8.9124
Cs Dy Er Te
4 1 3 8
Cartesian
0.0000 0.0000 0.0000
-2.2662 -1.3084 8.9124
-2.2662 1.3084 17.8248
0.0000 2.6168 8.9124
0.0000 0.0000 13.3686
-4.5323 0.0000 13.3686
-2.2662 1.3084 4.4562
2.2662 1.3084 4.4562
-2.2770 -1.3146 15.0506
0.0000 0.0000 6.1317
0.0000 -2.6293 11.6866
-2.2770 1.3146 11.6866
2.2770 -1.3146 15.0506
0.0000 2.6293 15.0506
0.0000 0.0000 20.6055
2.2770 1.3146 11.6866
```


12.
Below is crystalline Cs3DyEr2Te6 at its relaxed geometry, with properties calculated at the PBE level.

Properties
**Energy**: -4.303 eV/atom

Geometry as POSCAR:
```
Cs3DyEr2Te6
1.0
3.9272 -6.8019 0.0000
3.9272 6.8019 0.0000
-2.6188 0.0000 8.9141
Cs Dy Er Te
3 1 2 6
Cartesian
0.0000 0.0000 0.0000
3.9272 2.2591 0.0000
3.9272 -2.2591 0.0000
2.6178 0.0000 4.4571
2.6178 4.5338 4.4571
2.6178 -4.5338 4.4571
1.3017 2.2797 2.7752
-0.0149 0.0000 6.1368
1.3017 -2.2797 2.7752
3.9340 2.2797 6.1390
5.2506 0.0000 2.7773
3.9340 -2.2797 6.1390
```


13.
Below is crystalline Cs2DyF6 at its relaxed geometry, with properties calculated at the PBE level.

Properties
**Energy**: -5.004 eV/atom
**N(E_F)**: 6.19 states/eV/f.u.

Geometry as POSCAR:
```
Cs2DyF6
1.0
6.8375 -3.5301 0.0000
6.8375 3.5301 0.0000
-0.8889 0.0000 3.9943
Cs Dy F
2 1 6
Cartesian
2.1546 0.0000 0.6153
10.6316 0.0000 3.3791
6.3931 0.0000 1.9972
4.7341 1.4154 1.4994
6.8375 1.2490 0.0000
8.0520 1.4154 2.4950
4.7341 -1.4154 1.4994
6.8375 -1.2490 0.0000
8.0520 -1.4154 2.4950
```


14.
Below is crystalline Cs5Dy2F12 at its relaxed geometry, with properties calculated at the PBE level.

Properties
**Energy**: -5.067 eV/atom
**N(E_F)**: 1.74 states/eV/f.u.

Geometry as POSCAR:
```
Cs5Dy2F12
1.0
7.2460 -4.2733 0.0000
7.2460 4.2733 0.0000
-0.8331 0.0000 7.0905
Cs Dy F
5 2 12
Cartesian
0.0000 0.0000 0.0000
3.0562 0.0000 3.3476
4.4330 0.0000 6.9616
9.2259 0.0000 0.1289
10.6027 0.0000 3.7429
6.8294 1.9378 3.5452
6.8294 -1.9378 3.5452
0.2492 0.0000 4.2770
5.2945 2.4736 5.0740
5.1238 1.8266 2.1211
8.3644 2.4736 2.0165
8.5351 1.8266 4.9694
6.2488 0.0000 4.6479
7.4101 0.0000 2.4426
5.1238 -1.8266 2.1211
5.2945 -2.4736 5.0740
8.5351 -1.8266 4.9694
8.3644 -2.4736 2.0165
13.4097 0.0000 2.8135
```


15.
Below is crystalline Cs2DyF5 at its relaxed geometry, with properties calculated at the PBE level.

Properties
**Energy**: -5.302 eV/atom
**N(E_F)**: 0.00 states/eV/f.u.
**Energy relative to the lowest polymorph listed for this composition**: 0.133 eV/atom

Geometry as POSCAR:
```
Cs2DyF5
1.0
7.1813 0.0000 0.0000
0.0000 7.1813 0.0000
0.0000 0.0000 8.5892
Cs Dy F
4 2 10
Cartesian
0.0000 3.5906 0.0000
0.0000 3.5906 4.2946
3.5906 0.0000 0.0000
3.5906 0.0000 4.2946
0.0000 0.0000 2.1460
3.5906 3.5906 6.4406
0.0000 0.0000 0.0963
1.4663 1.4663 2.7143
1.4663 5.7150 2.7143
2.1244 2.1244 7.0089
2.1244 5.0569 7.0089
3.5906 3.5906 4.3909
5.0569 2.1244 7.0089
5.0569 5.0569 7.0089
5.7150 1.4663 2.7143
5.7150 5.7150 2.7143
```


16.
Below is crystalline CsDyF4 at its relaxed geometry, with properties calculated at the PBE level.

Properties
**Energy**: -5.815 eV/atom
**N(E_F)**: 0.00 states/eV/f.u.
**Energy relative to the lowest polymorph listed for this composition**: 0.055 eV/atom

Geometry as POSCAR:
```
CsDyF4
1.0
3.9077 0.0000 0.0000
0.0000 3.9077 0.0000
0.0000 0.0000 7.0377
Cs Dy F
1 1 4
Cartesian
0.0000 0.0000 0.0000
1.9538 1.9538 3.5188
0.0000 1.9538 2.2539
0.0000 1.9538 4.7837
1.9538 0.0000 2.2539
1.9538 0.0000 4.7837
```


17.
Below is crystalline Cs2DyF5 at its relaxed geometry, with properties calculated at the PBE level.

Properties
**Energy**: -5.436 eV/atom
**N(E_F)**: 0.00 states/eV/f.u.
**Energy relative to the lowest polymorph listed for this composition**: 0.000 eV/atom

Geometry as POSCAR:
```
Cs2DyF5
1.0
8.4787 0.0000 0.0000
0.0000 6.4509 0.0000
0.0000 0.0000 13.2109
Cs Dy F
8 4 20
Cartesian
0.0128 1.6127 3.1387
1.2982 1.6127 7.7535
2.9411 4.8381 1.1480
4.2266 4.8381 9.7441
4.2521 1.6127 3.4668
5.5376 1.6127 12.0629
7.1804 4.8381 5.4574
8.4659 4.8381 10.0723
1.3954 1.6127 12.4096
2.8440 4.8381 5.8041
5.6347 1.6127 7.4068
7.0833 4.8381 0.8014
0.0000 0.0000 0.0000
0.0000 3.2254 0.0000
0.2082 1.6127 10.6103
1.5065 3.2800 5.1787
1.5065 6.3963 5.1787
1.9530 4.8381 7.8174
2.2864 1.6127 1.2119
2.7329 0.0546 11.7841
2.7329 3.1709 11.7841
4.0312 4.8381 4.0049
4.2393 0.0000 6.6055
4.2393 3.2254 6.6055
4.4475 1.6127 9.2061
5.7458 3.2800 1.4268
5.7458 6.3963 1.4268
6.1923 4.8381 11.9990
6.5257 1.6127 5.3936
6.9722 0.0546 8.0323
6.9722 3.1709 8.0323
8.2705 4.8381 2.6006
```


18.
Below is crystalline CsDyF4 at its relaxed geometry, with properties calculated at the PBE level.

Properties
**Energy**: -5.870 eV/atom
**N(E_F)**: 0.00 states/eV/f.u.
**Energy relative to the lowest polymorph listed for this composition**: 0.000 eV/atom

Geometry as POSCAR:
```
CsDyF4
1.0
2.2237 -9.1103 0.0000
2.2237 9.1103 0.0000
0.0000 0.0000 6.8216
Cs Dy F
2 2 8
Cartesian
2.2237 5.7288 5.1162
2.2237 -5.7288 1.7054
2.2237 1.4463 5.1162
2.2237 -1.4463 1.7054
2.2237 7.7584 1.7054
2.2237 3.0233 3.6625
2.2237 3.0233 6.5699
2.2237 0.0000 0.0000
2.2237 0.0000 3.4108
2.2237 -3.0233 0.2517
2.2237 -3.0233 3.1591
2.2237 -7.7584 5.1162
```


19.
Below is crystalline Cs3DyF7 at its relaxed geometry, with properties calculated at the PBE level.

Properties
**Energy**: -4.879 eV/atom

Geometry as POSCAR:
```
Cs3DyF7
1.0
4.9179 -5.1239 0.0000
4.9179 5.1239 0.0000
-4.5088 0.0000 5.1657
Cs Dy F
3 1 7
Cartesian
0.0000 0.0000 0.0000
2.4945 2.3915 2.4501
2.4945 -2.3915 2.4501
5.0191 0.0000 0.1368
-0.1206 1.0186 3.2621
5.1078 2.1942 0.4878
2.9109 0.0000 0.7067
-0.1206 -1.0186 3.2621
2.5109 0.0000 4.4319
5.1078 -2.1942 0.4878
5.8103 0.0000 2.1940
```